Entry 1:
# Zr2PaWC4

A relaxed Zr2PaWC4 crystal (PBE, Alexandria via LeMat-Bulk).

Uncorrected energy: -158.195 eV/cell
Energy of formation: -332.1 meV/atom
Magnetization: 0.0 μB per formula unit
Space group: Cmcm, No. 63

abc: 3.3292 6.0903 11.6829
angles: 90.00 90.00 105.86
Sites, in units of the cell vectors:
W: 0.1498 0.2996 0.2500
C: 0.2622 0.5244 0.3774
Zr: 0.6304 0.2608 0.4641
C: 0.5432 0.0864 0.2500
C: 0.0000 0.0000 0.5000
Zr: 0.3696 0.7392 0.9641
Zr: 0.6304 0.2608 0.0359
C: 0.2622 0.5244 0.1226
Pa: 0.8850 0.7701 0.2500
W: 0.8502 0.7004 0.7500
Pa: 0.1150 0.2299 0.7500
C: 0.4568 0.9136 0.7500
C: 0.7378 0.4756 0.8774
C: 0.7378 0.4756 0.6226
Zr: 0.3696 0.7392 0.5359
C: 0.0000 0.0000 0.0000

***

Entry 2:
# BaSrPdPt

A relaxed BaSrPdPt crystal (PBE, Alexandria via LeMat-Bulk).

Uncorrected energy: -17.186 eV/cell
Energy of formation: -587.0 meV/atom
Magnetization: 0.0 μB per formula unit
Space group: F-43m, No. 216

abc: 5.3774 5.3774 5.3774
angles: 60.00 60.00 60.00
Sites, in units of the cell vectors:
Sr: 0.0000 0.0000 0.0000
Pt: 0.7500 0.7500 0.7500
Pd: 0.2500 0.2500 0.2500
Ba: 0.5000 0.5000 0.5000

***

Entry 3:
# Cr2HRh

A relaxed Cr2HRh crystal (PBE, Alexandria via LeMat-Bulk).

Uncorrected energy: -28.968 eV/cell
Magnetization: 0.8 μB per formula unit
Space group: P4/mmm, No. 123

abc: 2.6516 2.6516 5.8222
angles: 90.00 90.00 90.00
Each line ends with the local moment (μB).
Sites, in units of the cell vectors:
Rh: 0.5000 0.5000 0.5000  0.02
Cr: 0.0000 0.0000 0.1856  0.37
H: 0.5000 0.5000 0.0000  0.00
Cr: 0.0000 0.0000 0.8144  0.37

***

Entry 4:
# Y5ZrZn4

A relaxed Y5ZrZn4 crystal (PBE, Alexandria via LeMat-Bulk).

Uncorrected energy: -48.557 eV/cell
Energy of formation: -259.3 meV/atom
Magnetization: 0.0 μB per formula unit
Space group: P4/mmm, No. 123

abc: 3.5298 3.5298 19.1543
angles: 90.00 90.00 90.00
Sites, in units of the cell vectors:
Zn: 0.0000 0.0000 0.2158
Y: 0.5000 0.5000 0.8818
Zn: 0.0000 0.0000 0.7842
Y: 0.5000 0.5000 0.6891
Y: 0.5000 0.5000 0.3109
Zr: 0.0000 0.0000 0.0000
Zn: 0.0000 0.0000 0.4048
Zn: 0.0000 0.0000 0.5952
Y: 0.5000 0.5000 0.1182
Y: 0.5000 0.5000 0.5000

***

Entry 5:
# AlCr2Sn2

A relaxed AlCr2Sn2 crystal (PBE, Alexandria via LeMat-Bulk).

Uncorrected energy: -59.505 eV/cell
Energy of formation: 248.5 meV/atom
Magnetization: 3.9 μB per formula unit
Space group: P4/mbm, No. 127

abc: 6.6722 6.6722 3.9955
angles: 90.00 90.00 90.00
Each line ends with the local moment (μB).
Sites, in units of the cell vectors:
Cr: 0.8581 0.6419 0.0000  1.99
Cr: 0.3581 0.8581 0.0000  2.03
Cr: 0.1419 0.3581 0.0000  1.99
Al: 0.5000 0.5000 0.0000  -0.06
Cr: 0.6419 0.1419 0.0000  2.03
Sn: 0.1634 0.6634 0.5000  -0.09
Sn: 0.6634 0.8366 0.5000  -0.09
Sn: 0.8366 0.3366 0.5000  -0.09
Sn: 0.3366 0.1634 0.5000  -0.09
Al: 0.0000 0.0000 0.0000  -0.06

***

Entry 6:
# RbZn2Sn

A relaxed RbZn2Sn crystal (PBE, Alexandria via LeMat-Bulk).

Uncorrected energy: -7.531 eV/cell
Energy of formation: -3.1 meV/atom
Magnetization: 0.0 μB per formula unit
Space group: R-3m, No. 166

abc: 4.8360 4.8360 6.8947
angles: 69.47 69.47 60.00
Sites, in units of the cell vectors:
Zn: 0.3075 0.3075 0.0775
Zn: 0.6925 0.6925 0.9225
Rb: 0.5000 0.5000 0.5000
Sn: 0.0000 0.0000 0.0000

***

Entry 7:
# HoSnPb

A relaxed HoSnPb crystal (PBE, Alexandria via LeMat-Bulk).

Uncorrected energy: -13.015 eV/cell
Energy of formation: -242.0 meV/atom
Magnetization: 0.0 μB per formula unit
Space group: P3m1, No. 156

abc: 3.4279 5.3591 5.3591
angles: 120.00 90.00 90.00
Sites, in units of the cell vectors:
Ho: 0.6696 0.6667 0.3333
Sn: 0.1211 0.0000 0.0000
Pb: 0.2094 0.3333 0.6667

***

Entry 8:
# Tm4ThGa15

A relaxed Tm4ThGa15 crystal (PBE, Alexandria via LeMat-Bulk).

Uncorrected energy: -80.896 eV/cell
Energy of formation: -509.3 meV/atom
Magnetization: 0.0 μB per formula unit
Space group: P4/mmm, No. 123

abc: 4.2614 4.2614 21.5440
angles: 90.00 90.00 90.00
Sites, in units of the cell vectors:
Ga: 0.0000 0.5000 0.6963
Ga: 0.5000 0.0000 0.8932
Tm: 0.0000 0.0000 0.7944
Ga: 0.0000 0.5000 0.3037
Ga: 0.5000 0.5000 0.0000
Ga: 0.5000 0.0000 0.3037
Tm: 0.0000 0.0000 0.4021
Ga: 0.5000 0.5000 0.4016
Ga: 0.5000 0.5000 0.7969
Tm: 0.0000 0.0000 0.5979
Ga: 0.5000 0.0000 0.6963
Ga: 0.5000 0.0000 0.5000
Ga: 0.5000 0.0000 0.1068
Ga: 0.0000 0.5000 0.8932
Ga: 0.0000 0.5000 0.1068
Ga: 0.0000 0.5000 0.5000
Ga: 0.5000 0.5000 0.5984
Ga: 0.5000 0.5000 0.2031
Th: 0.0000 0.0000 0.0000
Tm: 0.0000 0.0000 0.2056